No. 1
Compound: SmBiOs
Source: the Alexandria database
Functional: PBE
Structure: relaxed

POSCAR file:
```
SmBiOs
1.0
-2.789 2.104 -0.237
-2.998 2.208 2.916
11.059 9.519 5.326
Os Bi Sm
2 2 2
Direct
0.280 0.520 0.752
0.100 0.130 0.681
0.250 0.649 0.347
0.129 0.002 0.086
0.709 0.869 0.528
0.670 0.782 0.906
```

Properties
The value obtained for the total magnetization is 0.000 μB/cell. The calculation puts the energy relative to the elements at -0.030 eV per atom.

No. 2
Compound: Y2ErOsC2
Source: the Alexandria database
Functional: PBE
Structure: relaxed

POSCAR file:
```
Y2ErOsC2
1.0
3.700 0.000 0.000
0.000 5.564 0.000
0.000 0.000 11.004
C Os Er Y
4 2 2 4
Direct
0.500 0.226 0.617
0.500 0.774 0.383
0.000 0.726 0.883
0.000 0.274 0.117
0.500 0.500 0.500
0.000 0.000 0.000
0.500 0.500 0.000
0.000 0.000 0.500
0.500 0.050 0.208
0.500 0.950 0.792
0.000 0.450 0.708
0.000 0.550 0.292
```

Properties
The value obtained for the total magnetization is 0.000 μB/cell. The calculation puts the energy relative to the elements at -0.216 eV per atom.